1.
Density functional theory data (PBE) for a relaxed Hf2NpZn crystal.

Unit cell a=6.899 b=6.899 c=6.899 alpha=90.00 beta=90.00 gamma=90.00
Space group Fm-3m (No. 225)
Unique sites:
Hf1 0.250 0.250 0.250 x8
Np1 0.000 0.000 0.000 x4
Zn1 0.000 0.000 0.500 x4

Summary:
The calculation puts the calculated formation energy at 8.29 kcal/mol of atoms. Its energy above the lowest structure with this stoichiometry is 24.52 kJ per mole of atoms. As for the density of states at the Fermi level: 2.8858 states/eV/atom. The volume is 328.3 Å³/cell.

2.
Density functional theory data (PBE) for a relaxed HfZrNpZn crystal.

Unit cell a=6.928 b=6.928 c=6.928 alpha=90.00 beta=90.00 gamma=90.00
Space group F-43m (No. 216)
Unique sites:
Hf1 0.000 0.000 0.000 x4
Zr1 0.000 0.000 0.500 x4
Np1 0.250 0.250 0.250 x4
Zn1 0.250 0.250 0.750 x4

Summary:
The calculation puts the calculated formation energy at 7.60 kcal/mol of atoms. As for the density of states at the Fermi level: 3.1673 states/eV/atom. The volume is 332.5 Å³/cell.

3.
Density functional theory data (PBE) for a relaxed HfZr2Np crystal.

Unit cell a=3.118 b=3.118 c=9.402 alpha=90.00 beta=90.00 gamma=90.00
Space group P4/mmm (No. 123)
Unique sites:
Hf1 0.000 0.000 0.000 x1
Zr1 0.500 0.500 0.245 x2
Np1 0.000 0.000 0.500 x1

Summary:
The calculation puts the calculated formation energy at 5.07 kcal/mol of atoms. As for the density of states at the Fermi level: 2.2813 states/eV/atom. The volume is 91.4 Å³/cell.

4.
Density functional theory data (PBE) for a relaxed HfZr2Np crystal.

Unit cell a=3.1646 b=3.1646 c=31.6165 alpha=90.00 beta=90.00 gamma=120.00
Space group R-3m (No. 166, hexagonal axes)
Unique sites:
Hf1 0.0000 0.0000 0.0000 x3
Zr1 0.0000 0.0000 0.2514 x6
Np1 0.0000 0.0000 0.5000 x3

Summary:
The calculation puts the calculated formation energy at 5.04 kcal/mol of atoms. As for the density of states at the Fermi level: 2.1152 states/eV/atom. The volume is 274.2 Å³/cell.

5.
Density functional theory data (PBE) for a relaxed HfO2 crystal.

Unit cell a=5.085 b=10.062 c=5.246 alpha=90.00 beta=90.00 gamma=90.00
Space group Pbca (No. 61)
Unique sites:
Hf1 0.246 0.115 0.036 x8
O1 0.002 0.023 0.739 x8
O2 0.124 0.711 0.373 x8

Summary:
As for the density of states at the Fermi level: 0.0000 states/eV/atom. Its uncorrected formation energy is -3.53 eV/atom. The volume is 268.4 Å³/cell.

6.
Density functional theory data (PBE) for a relaxed HfO2 crystal.

Unit cell a=5.048 b=5.270 c=4.976 alpha=90.00 beta=90.00 gamma=90.00
Space group P2_12_12 (No. 18)
Unique sites:
Hf1 0.235 0.218 0.228 x4
O1 0.000 0.000 0.935 x2
O2 0.000 0.500 0.033 x2
O3 0.218 0.858 0.401 x4

Summary:
As for the density of states at the Fermi level: 0.0000 states/eV/atom. Its uncorrected formation energy is -3.46 eV/atom. The volume is 132.4 Å³/cell.

7.
Density functional theory data (PBE) for a relaxed HfO2 crystal.

Unit cell a=5.143 b=5.194 c=5.325 alpha=90.00 beta=99.69 gamma=90.00
Space group P2_1/c (No. 14)
Unique sites:
Hf1 0.224 0.043 0.292 x4
O1 0.051 0.743 0.522 x4
O2 0.432 0.170 0.653 x4

Summary:
As for the density of states at the Fermi level: 0.0000 states/eV/atom. Its uncorrected formation energy is -3.56 eV/atom. The volume is 140.2 Å³/cell.

8.
Density functional theory data (PBE) for a relaxed HfO crystal.

Unit cell a=3.185 b=9.453 c=5.272 alpha=90.00 beta=90.00 gamma=90.00
Space group Amm2 (No. 38)
Unique sites:
Hf1 0.000 0.000 0.000 x2
Hf2 0.500 0.169 0.473 x4
O1 0.000 0.208 0.791 x4
O2 0.500 0.000 0.723 x2

Summary:
As for the density of states at the Fermi level: 0.0386 states/eV/atom. Its uncorrected formation energy is -2.49 eV/atom. The volume is 158.8 Å³/cell.

9.
Density functional theory data (PBE) for a relaxed HfO crystal.

Unit cell a=6.983 b=7.073 c=9.788 alpha=90.00 beta=90.00 gamma=90.00
Space group Fddd (No. 70, origin choice 2)
Unique sites:
Hf1 0.125 0.374 0.125 x16
O1 0.125 0.125 0.497 x16

Summary:
As for the density of states at the Fermi level: 0.3738 states/eV/atom. Its uncorrected formation energy is -2.42 eV/atom. The volume is 483.4 Å³/cell.

10.
Density functional theory data (PBE) for a relaxed HfO crystal.

Unit cell a=4.946 b=4.946 c=4.946 alpha=90.00 beta=90.00 gamma=90.00
Space group F-43m (No. 216)
Unique sites:
Hf1 0.000 0.000 0.000 x4
O1 0.250 0.250 0.250 x4

Summary:
As for the density of states at the Fermi level: 0.3368 states/eV/atom. Its uncorrected formation energy is -2.18 eV/atom. The volume is 121.0 Å³/cell.

11.
Density functional theory data (PBE) for a relaxed HfO4 crystal.

Unit cell a=4.129 b=4.129 c=4.129 alpha=90.00 beta=90.00 gamma=90.00
Space group Pm-3m (No. 221)
Unique sites:
Hf1 0.000 0.000 0.000 x1
O1 0.000 0.000 0.500 x3
O2 0.500 0.500 0.500 x1

Summary:
As for the density of states at the Fermi level: 0.5594 states/eV/atom. Its uncorrected formation energy is -1.10 eV/atom. The volume is 70.4 Å³/cell.

12.
Density functional theory data (PBE) for a relaxed HfO crystal.

Unit cell a=8.921 b=8.921 c=3.199 alpha=90.00 beta=90.00 gamma=90.00
Space group I4/m (No. 87)
Unique sites:
Hf1 0.098 0.314 0.000 x8
O1 0.118 0.773 0.000 x8

Summary:
As for the density of states at the Fermi level: 0.3205 states/eV/atom. Its uncorrected formation energy is -2.38 eV/atom. The volume is 254.6 Å³/cell.